Below is an optimized crystal structure of K2CaV2O6, with properties calculated at the GGA+U level.

a b c (Å): 10.573 6.133 6.999
angles (deg): 90.00 121.99 90.00
Space group C2/m (No. 12)
Inequivalent atoms, fractional coordinates:
K (0.206, 0.000, 0.170) x4
Ca (0.000, 0.000, 0.500) x2
V (0.048, 0.500, 0.218) x4
O (0.034, 0.262, 0.770) x8
O (0.238, 0.500, 0.344) x4

## Properties
- Volume: 17.50 Å³/atom
- Energy: -143.5 eV for the cell shown